Material: DyHo2ScS4
Method: DFT, PBE
State: optimized geometry

Cell and atoms, written as POSCAR:
```
DyHo2ScS4
1.0
6.6752 0.0000 0.0000
0.0000 3.8193 0.0000
-2.1922 0.0000 6.3128
Dy Ho Sc S
1 2 1 4
direct
0.0000 0.0000 0.0000
0.5000 0.0000 0.5000
0.5000 0.5000 0.0000
0.0000 0.5000 0.5000
0.2416 0.0000 0.7403
0.2467 0.5000 0.2559
0.7533 0.5000 0.7441
0.7584 0.0000 0.2597
```

Values from the calculation:
VASP energy in eV per atom: -6.514
Formation energy (no corrections) in eV per atom: -1.94
Fermi-level density of states in states/eV per cell: 4.97
Space-group type: P2/m (10)

***

Material: DyHo2Sc3S6
Method: DFT, PBE
State: optimized geometry

Cell and atoms, written as POSCAR:
```
DyHo2Sc3S6
1.0
8.2568 -1.8937 0.0000
8.2568 1.8937 0.0000
-1.7502 0.0000 7.4031
Dy Ho Sc S
1 2 3 6
direct
0.0000 0.0000 0.0000
0.3335 0.3335 0.6671
0.6665 0.6665 0.3329
0.0000 0.0000 0.5000
0.3337 0.3337 0.1665
0.6663 0.6663 0.8335
0.1636 0.1636 0.5910
0.1705 0.1705 0.0759
0.4969 0.4969 0.2592
0.5031 0.5031 0.7408
0.8295 0.8295 0.9241
0.8364 0.8364 0.4090
```

Values from the calculation:
VASP energy in eV per atom: -6.711
Formation energy (no corrections) in eV per atom: -1.92
Fermi-level density of states in states/eV per cell: 5.71
Space-group type: C2/m (12)

***

Material: Dy3HoSc3S8
Method: DFT, PBE
State: optimized geometry

Cell and atoms, written as POSCAR:
```
Dy3HoSc3S8
1.0
3.7828 2.1840 6.2579
-3.7828 2.1840 6.2579
0.0000 -4.3680 6.2579
Dy Ho Sc S
3 1 3 8
direct
0.0000 0.5000 0.5000
0.5000 0.0000 0.5000
0.5000 0.5000 0.0000
0.5000 0.5000 0.5000
0.0000 0.0000 0.5000
0.0000 0.5000 0.0000
0.5000 0.0000 0.0000
0.2357 0.7538 0.7538
0.2449 0.2449 0.2449
0.2462 0.2462 0.7643
0.2462 0.7643 0.2462
0.7538 0.2357 0.7538
0.7538 0.7538 0.2357
0.7551 0.7551 0.7551
0.7643 0.2462 0.2462
```

Values from the calculation:
VASP energy in eV per atom: -6.679
Formation energy (no corrections) in eV per atom: -1.99
Fermi-level density of states in states/eV per cell: 6.67
Space-group type: R-3m (166)

***

Material: Dy3HoSc2S6
Method: DFT, PBE
State: optimized geometry

Cell and atoms, written as POSCAR:
```
Dy3HoSc2S6
1.0
3.3107 -5.7550 0.0000
3.3107 5.7550 0.0000
-2.2119 0.0000 6.2706
Dy Ho Sc S
3 1 2 6
direct
0.0000 0.0000 0.0000
0.3363 0.6637 0.0000
0.6637 0.3363 0.0000
0.5000 0.5000 0.5000
0.1664 0.8336 0.5000
0.8336 0.1664 0.5000
0.0788 0.4201 0.2603
0.2373 0.2373 0.7368
0.4201 0.0788 0.2603
0.5799 0.9212 0.7397
0.7627 0.7627 0.2632
0.9212 0.5799 0.7397
```

Values from the calculation:
VASP energy in eV per atom: -6.592
Formation energy (no corrections) in eV per atom: -1.94
Fermi-level density of states in states/eV per cell: 5.37
Space-group type: C2/m (12)

***

Material: DyHo4ScS8
Method: DFT, PBE
State: optimized geometry

Cell and atoms, written as POSCAR:
```
DyHo4ScS8
1.0
3.9739 2.2943 6.4941
-3.9739 2.2943 6.4941
0.0000 -4.5887 6.4941
Dy Ho Sc S
1 4 1 8
direct
0.0000 0.0000 0.0000
0.9999 0.9999 0.4874
0.9999 0.4874 0.9999
0.4874 0.9999 0.9999
0.6218 0.6218 0.6218
0.3717 0.3717 0.3717
0.2216 0.7546 0.7546
0.2437 0.2437 0.2437
0.2448 0.2448 0.7550
0.2448 0.7550 0.2448
0.7546 0.2216 0.7546
0.7550 0.2448 0.2448
0.7546 0.7546 0.2216
0.7553 0.7553 0.7553
```

Values from the calculation:
VASP energy in eV per atom: -6.368
Formation energy (no corrections) in eV per atom: -1.92
Fermi-level density of states in states/eV per cell: 6.81
Space-group type: R3m (160)

***

Material: DyHoSc2S6
Method: DFT, PBE
State: optimized geometry

Cell and atoms, written as POSCAR:
```
DyHoSc2S6
1.0
3.3467 1.9322 5.9655
-3.3467 1.9322 5.9655
0.0000 -3.8644 5.9655
Dy Ho Sc S
1 1 2 6
direct
0.0000 0.0000 0.0000
0.5008 0.5008 0.5008
0.1995 0.1995 0.1995
0.6999 0.6999 0.6999
0.0794 0.4221 0.8161
0.3184 0.9219 0.5772
0.4221 0.8161 0.0794
0.5772 0.3184 0.9219
0.8161 0.0794 0.4221
0.9219 0.5772 0.3184
```

Values from the calculation:
VASP energy in eV per atom: -6.625
Formation energy (no corrections) in eV per atom: -1.96
Fermi-level density of states in states/eV per cell: 0.00
Space-group type: R3 (146)

***

Material: Dy2HoScS4
Method: DFT, PBE
State: optimized geometry

Cell and atoms, written as POSCAR:
```
Dy2HoScS4
1.0
6.6744 0.0000 0.0000
0.0000 3.8221 0.0000
-2.1960 0.0000 6.3314
Dy Ho Sc S
2 1 1 4
direct
0.0000 0.0000 0.0000
0.5000 0.5000 0.0000
0.0000 0.5000 0.5000
0.5000 0.0000 0.5000
0.2540 0.0000 0.7434
0.2598 0.5000 0.2612
0.7402 0.5000 0.7388
0.7460 0.0000 0.2566
```

Values from the calculation:
VASP energy in eV per atom: -6.523
Formation energy (no corrections) in eV per atom: -1.94
Fermi-level density of states in states/eV per cell: 4.95
Space-group type: P2/m (10)

***

Material: DyHo4Sc3S8
Method: DFT, PBE
State: optimized geometry

Cell and atoms, written as POSCAR:
```
DyHo4Sc3S8
1.0
3.8222 2.2067 6.2316
-3.8222 2.2067 6.2316
0.0000 -4.4134 6.2316
Dy Ho Sc S
1 4 3 8
direct
0.0000 0.0000 0.0000
0.0000 0.0000 0.5000
0.0000 0.5000 0.0000
0.5000 0.0000 0.0000
0.5000 0.5000 0.5000
0.0000 0.5000 0.5000
0.5000 0.0000 0.5000
0.5000 0.5000 0.0000
0.2507 0.2507 0.7399
0.2507 0.7399 0.2507
0.2547 0.2547 0.2547
0.2601 0.7493 0.7493
0.7399 0.2507 0.2507
0.7453 0.7453 0.7453
0.7493 0.2601 0.7493
0.7493 0.7493 0.2601
```

Values from the calculation:
VASP energy in eV per atom: -6.604
Formation energy (no corrections) in eV per atom: -1.92
Fermi-level density of states in states/eV per cell: 10.57
Space-group type: R-3m (166)

***

Material: Dy2Ho2Se2S3
Method: DFT, PBE
State: optimized geometry

Cell and atoms, written as POSCAR:
```
Dy2Ho2Se2S3
1.0
-2.6609 2.6609 7.2715
2.6609 -2.6609 7.2715
2.6609 2.6609 -7.2715
Dy Ho Se S
2 2 2 3
direct
0.2021 0.2021 0.0000
0.7979 0.7979 0.0000
0.0000 0.5000 0.5000
0.5000 0.0000 0.5000
0.3970 0.3970 0.0000
0.6030 0.6030 0.0000
0.0000 0.0000 0.0000
0.2500 0.7500 0.5000
0.7500 0.2500 0.5000
```

Values from the calculation:
VASP energy in eV per atom: -5.870
Formation energy (no corrections) in eV per atom: -1.68
Fermi-level density of states in states/eV per cell: 5.22
Space-group type: I4/mmm (139)

***

Material: Dy2HoSe2S2
Method: DFT, PBE
State: optimized geometry

Cell and atoms, written as POSCAR:
```
Dy2HoSe2S2
1.0
-2.5260 2.5260 7.2135
2.5260 -2.5260 7.2135
2.5260 2.5260 -7.2135
Dy Ho Se S
2 1 2 2
direct
0.1194 0.1194 0.0000
0.8806 0.8806 0.0000
0.5000 0.5000 0.0000
0.3095 0.3095 0.0000
0.6905 0.6905 0.0000
0.0000 0.5000 0.5000
0.5000 0.0000 0.5000
```

Values from the calculation:
VASP energy in eV per atom: -5.630
Formation energy (no corrections) in eV per atom: -1.49
Fermi-level density of states in states/eV per cell: 2.45
Space-group type: I4/mmm (139)

***

Material: DyHoSiS
Method: DFT, PBE
State: optimized geometry

Cell and atoms, written as POSCAR:
```
DyHoSiS
1.0
2.0003 1.1549 6.6332
-2.0003 1.1549 6.6332
0.0000 -2.3097 6.6332
Dy Ho Si S
1 1 1 1
direct
0.0000 0.0000 0.0000
0.5010 0.5010 0.5010
0.2502 0.2502 0.2502
0.7510 0.7510 0.7510
```

Values from the calculation:
VASP energy in eV per atom: -6.049
Formation energy (no corrections) in eV per atom: -1.37
Fermi-level density of states in states/eV per cell: 1.58
Space-group type: R3m (160)

***

Material: Sm3Dy3HoS8
Method: DFT, PBE
State: optimized geometry

Cell and atoms, written as POSCAR:
```
Sm3Dy3HoS8
1.0
3.9352 2.2720 6.4775
-3.9352 2.2720 6.4775
0.0000 -4.5440 6.4775
Sm Dy Ho S
3 3 1 8
direct
0.0000 0.5000 0.5000
0.5000 0.0000 0.5000
0.5000 0.5000 0.0000
0.0000 0.0000 0.5000
0.0000 0.5000 0.0000
0.5000 0.0000 0.0000
0.5000 0.5000 0.5000
0.2465 0.7473 0.7473
0.2469 0.2469 0.2469
0.2527 0.2527 0.7535
0.2527 0.7535 0.2527
0.7473 0.2465 0.7473
0.7473 0.7473 0.2465
0.7531 0.7531 0.7531
0.7535 0.2527 0.2527
```

Values from the calculation:
VASP energy in eV per atom: -6.427
Formation energy (no corrections) in eV per atom: -2.06
Fermi-level density of states in states/eV per cell: 6.67
Space-group type: R-3m (166)

***

Material: Sm3DyHo3S8
Method: DFT, PBE
State: optimized geometry

Cell and atoms, written as POSCAR:
```
Sm3DyHo3S8
1.0
3.9252 2.2662 6.4699
-3.9252 2.2662 6.4699
0.0000 -4.5324 6.4699
Sm Dy Ho S
3 1 3 8
direct
0.0000 0.5000 0.5000
0.5000 0.0000 0.5000
0.5000 0.5000 0.0000
0.5000 0.5000 0.5000
0.0000 0.0000 0.5000
0.0000 0.5000 0.0000
0.5000 0.0000 0.0000
0.2437 0.7488 0.7488
0.2463 0.2463 0.2463
0.2512 0.2512 0.7563
0.2512 0.7563 0.2512
0.7488 0.2437 0.7488
0.7488 0.7488 0.2437
0.7537 0.7537 0.7537
0.7563 0.2512 0.2512
```

Values from the calculation:
VASP energy in eV per atom: -6.419
Formation energy (no corrections) in eV per atom: -2.05
Fermi-level density of states in states/eV per cell: 6.62
Space-group type: R-3m (166)

***

Material: Sm2DyHoS6
Method: DFT, PBE
State: optimized geometry

Cell and atoms, written as POSCAR:
```
Sm2DyHoS6
1.0
3.4983 2.0198 6.1958
-3.4983 2.0198 6.1958
0.0000 -4.0395 6.1958
Sm Dy Ho S
2 1 1 6
direct
0.0000 0.0000 0.0000
0.4996 0.4996 0.4996
0.2037 0.2037 0.2037
0.7032 0.7032 0.7032
0.0903 0.4113 0.8132
0.3137 0.9095 0.5920
0.4113 0.8132 0.0903
0.5920 0.3137 0.9095
0.8132 0.0903 0.4113
0.9095 0.5920 0.3137
```

Values from the calculation:
VASP energy in eV per atom: -6.384
Formation energy (no corrections) in eV per atom: -2.05
Fermi-level density of states in states/eV per cell: 0.00
Space-group type: R3 (146)

***

Material: SmDy3Ho2S6
Method: DFT, PBE
State: optimized geometry

Cell and atoms, written as POSCAR:
```
SmDy3Ho2S6
1.0
3.3839 -5.8854 0.0000
3.3839 5.8854 0.0000
-2.2618 0.0000 6.3901
Sm Dy Ho S
1 3 2 6
direct
0.0000 0.0000 0.0000
0.1632 0.8368 0.5000
0.5000 0.5000 0.5000
0.8368 0.1632 0.5000
0.3339 0.6661 0.0000
0.6661 0.3339 0.0000
0.0841 0.4246 0.2526
0.2569 0.2569 0.7499
0.4246 0.0841 0.2526
0.5754 0.9159 0.7474
0.7431 0.7431 0.2501
0.9159 0.5754 0.7474
```

Values from the calculation:
VASP energy in eV per atom: -6.365
Formation energy (no corrections) in eV per atom: -1.99
Fermi-level density of states in states/eV per cell: 4.81
Space-group type: C2/m (12)

***

Material: Sm3DyHo2S6
Method: DFT, PBE
State: optimized geometry

Cell and atoms, written as POSCAR:
```
Sm3DyHo2S6
1.0
3.4031 -5.9166 0.0000
3.4031 5.9166 0.0000
-2.2747 0.0000 6.4913
Sm Dy Ho S
3 1 2 6
direct
0.0000 0.0000 0.0000
0.3339 0.6661 0.0000
0.6661 0.3339 0.0000
0.5000 0.5000 0.5000
0.1666 0.8334 0.5000
0.8334 0.1666 0.5000
0.0859 0.4205 0.2611
0.2448 0.2448 0.7384
0.4205 0.0859 0.2611
0.5795 0.9141 0.7389
0.7552 0.7552 0.2616
0.9141 0.5795 0.7389
```

Values from the calculation:
VASP energy in eV per atom: -6.398
Formation energy (no corrections) in eV per atom: -2.01
Fermi-level density of states in states/eV per cell: 5.21
Space-group type: C2/m (12)

***

Material: SmDy2Ho3S6
Method: DFT, PBE
State: optimized geometry

Cell and atoms, written as POSCAR:
```
SmDy2Ho3S6
1.0
3.3786 -5.8758 0.0000
3.3786 5.8758 0.0000
-2.2578 0.0000 6.3926
Sm Dy Ho S
1 2 3 6
direct
0.0000 0.0000 0.0000
0.3338 0.6662 0.0000
0.6662 0.3338 0.0000
0.1638 0.8362 0.5000
0.5000 0.5000 0.5000
0.8362 0.1638 0.5000
0.0853 0.4244 0.2558
0.2544 0.2544 0.7462
0.4244 0.0853 0.2558
0.5756 0.9147 0.7442
0.7456 0.7456 0.2538
0.9147 0.5756 0.7442
```

Values from the calculation:
VASP energy in eV per atom: -6.361
Formation energy (no corrections) in eV per atom: -1.99
Fermi-level density of states in states/eV per cell: 4.90
Space-group type: C2/m (12)

***

Material: Sm4DyHoS8
Method: DFT, PBE
State: optimized geometry

Cell and atoms, written as POSCAR:
```
Sm4DyHoS8
1.0
4.0887 2.3606 6.6540
-4.0887 2.3606 6.6540
0.0000 -4.7212 6.6540
Sm Dy Ho S
4 1 1 8
direct
0.0000 0.0000 0.0000
0.3765 0.3765 0.8740
0.3765 0.8740 0.3765
0.8740 0.3765 0.3765
0.7515 0.7515 0.7515
0.3763 0.3763 0.3763
0.1329 0.1329 0.1329
0.1388 0.1388 0.5990
0.1388 0.5990 0.1388
0.1445 0.6154 0.6154
0.5990 0.1388 0.1388
0.6154 0.1445 0.6154
0.6154 0.6154 0.1445
0.6213 0.6213 0.6213
```

Values from the calculation:
VASP energy in eV per atom: -6.284
Formation energy (no corrections) in eV per atom: -1.92
Fermi-level density of states in states/eV per cell: 8.24
Space-group type: R3m (160)

***

Material: Sm3DyHo4S8
Method: DFT, PBE
State: optimized geometry

Cell and atoms, written as POSCAR:
```
Sm3DyHo4S8
1.0
3.9243 2.2657 6.4619
-3.9243 2.2657 6.4619
0.0000 -4.5314 6.4619
Sm Dy Ho S
3 1 4 8
direct
0.0000 0.5000 0.5000
0.5000 0.0000 0.5000
0.5000 0.5000 0.0000
0.0000 0.0000 0.0000
0.0000 0.0000 0.5000
0.0000 0.5000 0.0000
0.5000 0.0000 0.0000
0.5000 0.5000 0.5000
0.2424 0.7491 0.7491
0.2458 0.2458 0.2458
0.2509 0.2509 0.7576
0.2509 0.7576 0.2509
0.7491 0.2424 0.7491
0.7491 0.7491 0.2424
0.7542 0.7542 0.7542
0.7576 0.2509 0.2509
```

Values from the calculation:
VASP energy in eV per atom: -6.373
Formation energy (no corrections) in eV per atom: -1.99
Fermi-level density of states in states/eV per cell: 8.41
Space-group type: R-3m (166)

***

Material: SmDyHo2S4
Method: DFT, PBE
State: optimized geometry

Cell and atoms, written as POSCAR:
```
SmDyHo2S4
1.0
6.8078 0.0000 0.0000
0.0000 3.8824 0.0000
-2.2206 0.0000 6.4514
Sm Dy Ho S
1 1 2 4
direct
0.0000 0.0000 0.0000
0.5000 0.5000 0.0000
0.0000 0.5000 0.5000
0.5000 0.0000 0.5000
0.2524 0.0000 0.7447
0.2573 0.5000 0.2587
0.7427 0.5000 0.7413
0.7476 0.0000 0.2553
```

Values from the calculation:
VASP energy in eV per atom: -6.362
Formation energy (no corrections) in eV per atom: -1.99
Fermi-level density of states in states/eV per cell: 4.83
Space-group type: P2/m (10)

***

| no. | magnetic moment (μB/f.u.) |
| --- | --- |
| 1 | 0.00 |
| 2 | 0.00 |
| 3 | 0.00 |
| 4 | 0.00 |
| 5 | 0.73 |
| 6 | 0.00 |
| 7 | 0.00 |
| 8 | 0.00 |
| 9 | 0.00 |
| 10 | 0.07 |
| 11 | 0.00 |
| 12 | 0.00 |
| 13 | 0.00 |
| 14 | 0.00 |
| 15 | 0.00 |
| 16 | 0.00 |
| 17 | 0.00 |
| 18 | 0.00 |
| 19 | 0.00 |
| 20 | 0.00 |